This record from Alexandria via LeMat-Bulk describes a relaxed TlTe2S2 crystal. The functional is PBE.

Calculated values
Fermi-level density of states, states/eV/f.u.: 2.3
Crystal system: tetragonal
E_form (uncorrected), eV/atom: 0.0839
Energy relative to the lowest polymorph listed for this composition, meV per atom: 0
Calculated volume, Å³ per cell: 330.0

```
data_TlTe2S2
_symmetry_space_group_name_H-M 'I 4/m m m'
_symmetry_Int_Tables_number 139
_symmetry_space_group_name_Hall '-I 4 2'
_cell_length_a 5.4325
_cell_length_b 5.4325
_cell_length_c 11.1817
_cell_angle_alpha 90.00
_cell_angle_beta 90.00
_cell_angle_gamma 90.00
loop_
_atom_site_label
_atom_site_type_symbol
_atom_site_fract_x
_atom_site_fract_y
_atom_site_fract_z
Tl1 Tl 0.0000 0.0000 0.0000
Te1 Te 0.0000 0.0000 0.2995
S1 S 0.0000 0.5000 0.2500
```


This record from Alexandria via LeMat-Bulk describes a relaxed Tl6TeS2 crystal. The functional is PBE.

Calculated values
Fermi-level density of states, states/eV/f.u.: 0.3
Crystal system: monoclinic
E_form (uncorrected), eV/atom: -0.3090
Energy relative to the lowest polymorph listed for this composition, meV per atom: 0
Calculated volume, Å³ per cell: 631.4

```
data_Tl6TeS2
_symmetry_space_group_name_H-M 'C 1 2/m 1'
_symmetry_Int_Tables_number 12
_cell_length_a 17.4359
_cell_length_b 4.3751
_cell_length_c 8.3362
_cell_angle_alpha 90.00
_cell_angle_beta 96.80
_cell_angle_gamma 90.00
loop_
_symmetry_equiv_pos_as_xyz
'x,y,z'
'-x,-y,-z'
'-x,y,-z'
'x,-y,z'
'x+1/2,y+1/2,z'
'-x+1/2,-y+1/2,-z'
'-x+1/2,y+1/2,-z'
'x+1/2,-y+1/2,z'
loop_
_atom_site_label
_atom_site_type_symbol
_atom_site_fract_x
_atom_site_fract_y
_atom_site_fract_z
Tl1 Tl 0.0018 0.0000 0.2195
Tl2 Tl 0.1626 0.5000 0.0907
Tl3 Tl 0.1839 0.5000 0.6121
Te1 Te 0.0000 0.5000 0.5000
S1 S 0.1677 0.0000 0.8485
```


| no. | theoretical density (g cm⁻³) |
| --- | --- |
| 1 | 5.27 |
| 2 | 7.46 |